The following is a DFT calculation (PBEsol) of crystalline Ta2BeOsBr at its relaxed geometry.

- Mass density: 12.85 Mg/m³
- Spin magnetization: 0.00 μB/f.u.
- D(E_F): 0.974 states/eV/atom
- E_form (uncorrected): 1.09 eV/atom

Unit cell a=3.908 b=4.605 c=4.605 alpha=90.00 beta=90.00 gamma=90.00
Sites, in units of the cell vectors:
Os 0.500 0.000 0.000
Ta 0.000 0.000 0.500
Br 0.500 0.500 0.500
Be 0.000 0.000 0.000
Ta 0.000 0.500 0.000


The following is a DFT calculation (PBEsol) of crystalline YCoSe2 at its relaxed geometry.

- Mass density: 6.57 Mg/m³
- Spin magnetization: 2.01 μB/f.u.
- E_form (uncorrected): -0.96 eV/atom

Unit cell a=3.947 b=3.947 c=6.165 alpha=71.33 beta=71.33 gamma=60.00
Site moments in Bohr magnetons follow the coordinates.
Sites, in units of the cell vectors:
Se 0.263 0.263 0.210  0.09
Se 0.737 0.737 0.790  0.09
Y 0.500 0.500 0.500  0.09
Co 0.000 0.000 0.000  1.70


The following is a DFT calculation (PBEsol) of crystalline MgAl3Pd at its relaxed geometry.

- Mass density: 3.30 Mg/m³
- Spin magnetization: 0.00 μB/f.u.
- Calculated total energy: -3.98 eV/atom
- D(E_F): 0.441 states/eV/atom

Unit cell a=4.740 b=4.740 c=4.740 alpha=90.00 beta=90.00 gamma=90.00
Sites, in units of the cell vectors:
Pd 0.000 0.000 0.000
Al 0.000 0.500 0.000
Al 0.500 0.000 0.000
Al 0.000 0.000 0.500
Mg 0.500 0.500 0.500


The following is a DFT calculation (PBEsol) of crystalline CaZn3Pt at its relaxed geometry.

- Mass density: 5.49 Mg/m³
- Spin magnetization: 0.00 μB/f.u.
- Calculated total energy: -1.34 eV/atom
- D(E_F): 0.390 states/eV/atom

Unit cell a=5.071 b=5.071 c=5.071 alpha=90.00 beta=90.00 gamma=90.00
Sites, in units of the cell vectors:
Zn 0.500 0.000 0.000
Ca 0.000 0.000 0.000
Zn 0.000 0.500 0.000
Zn 0.000 0.000 0.500
Pt 0.500 0.500 0.500


The following is a DFT calculation (PBEsol) of crystalline SrZrCl2 at its relaxed geometry.

- Energy above the most stable polymorph in this dataset: 0.0 kJ per mole of atoms
- Mass density: 4.48 Mg/m³
- Spin magnetization: 0.00 μB/f.u.
- D(E_F): 0.334 states/eV/atom
- E_form (uncorrected): -1.19 eV/atom

Unit cell a=3.619 b=3.619 c=7.074 alpha=90.00 beta=90.00 gamma=90.00
Sites, in units of the cell vectors:
Zr 0.500 0.500 0.848
Cl 0.500 0.500 0.235
Sr 0.000 0.000 0.472
Cl 0.000 0.000 0.945


The following is a DFT calculation (PBEsol) of crystalline CoSi2P at its relaxed geometry.

- Mass density: 4.86 Mg/m³
- Spin magnetization: 0.37 μB/f.u.
- D(E_F): 0.877 states/eV/atom
- E_form (uncorrected): 0.25 eV/atom

Unit cell a=4.132 b=4.132 c=4.132 alpha=60.00 beta=60.00 gamma=60.00
Site moments in Bohr magnetons follow the coordinates.
Sites, in units of the cell vectors:
Co 0.500 0.500 0.500  0.32
Si 0.750 0.750 0.750  0.01
Si 0.000 0.000 0.000  0.02
P 0.250 0.250 0.250  0.01


The following is a DFT calculation (PBEsol) of crystalline LiLaIO2 at its relaxed geometry.

- Mass density: 5.99 Mg/m³
- Spin magnetization: 1.01 μB/f.u.
- D(E_F): 0.618 states/eV/atom
- E_form (uncorrected): -1.07 eV/atom

Unit cell a=4.334 b=4.334 c=4.497 alpha=90.00 beta=90.00 gamma=90.00
Site moments in Bohr magnetons follow the coordinates.
Sites, in units of the cell vectors:
I 0.000 0.000 0.500  0.10
Li 0.000 0.000 0.000  0.00
O 0.500 0.000 0.000  0.41
La 0.500 0.500 0.500  -0.05
O 0.000 0.500 0.000  0.41


The following is a DFT calculation (PBEsol) of crystalline MnAl3Pt at its relaxed geometry.

- Mass density: 6.59 Mg/m³
- Spin magnetization: 0.00 μB/f.u.
- Calculated total energy: -5.32 eV/atom
- D(E_F): 0.704 states/eV/atom

Unit cell a=4.368 b=4.368 c=4.368 alpha=90.00 beta=90.00 gamma=90.00
Sites, in units of the cell vectors:
Al 0.000 0.000 0.500
Mn 0.000 0.000 0.000
Al 0.500 0.000 0.000
Al 0.000 0.500 0.000
Pt 0.500 0.500 0.500


The following is a DFT calculation (PBEsol) of crystalline Sc3ZnN at its relaxed geometry.

- Mass density: 4.30 Mg/m³
- Spin magnetization: 0.00 μB/f.u.
- D(E_F): 1.313 states/eV/atom
- E_form (uncorrected): -1.05 eV/atom

Unit cell a=4.359 b=4.359 c=4.359 alpha=90.00 beta=90.00 gamma=90.00
Sites, in units of the cell vectors:
Sc 0.000 0.000 0.500
Sc 0.000 0.500 0.000
N 0.000 0.000 0.000
Sc 0.500 0.000 0.000
Zn 0.500 0.500 0.500


The following is a DFT calculation (PBEsol) of crystalline NiBi2H2 at its relaxed geometry.

- Mass density: 10.77 Mg/m³
- Spin magnetization: 0.00 μB/f.u.
- Calculated total energy: -3.83 eV/atom
- D(E_F): 0.376 states/eV/atom

Unit cell a=3.343 b=3.343 c=7.011 alpha=103.79 beta=103.79 gamma=90.00
Sites, in units of the cell vectors:
Ni 0.000 0.000 0.000
Bi 0.626 0.626 0.252
H 0.250 0.750 0.500
Bi 0.374 0.374 0.748
H 0.750 0.250 0.500


The following is a DFT calculation (PBEsol) of crystalline Li2Tl at its relaxed geometry.

- Mass density: 6.35 Mg/m³
- Spin magnetization: 0.00 μB/f.u.
- Calculated total energy: -2.43 eV/atom
- D(E_F): 0.387 states/eV/atom

Unit cell a=4.118 b=4.118 c=13.775 alpha=98.60 beta=98.60 gamma=90.00
Sites, in units of the cell vectors:
Li 0.749 0.749 0.497
Li 0.837 0.337 0.674
Tl 0.328 0.828 0.656
Li 0.251 0.251 0.503
Tl 0.922 0.922 0.844
Tl 0.078 0.078 0.156
Li 0.501 0.001 0.003
Li 0.587 0.587 0.174
Tl 0.172 0.672 0.344
Li 0.663 0.163 0.326
Li 0.999 0.499 0.997
Li 0.413 0.413 0.826


The following is a DFT calculation (PBEsol) of crystalline CoTe2P at its relaxed geometry.

- Mass density: 7.85 Mg/m³
- Spin magnetization: 0.00 μB/f.u.
- D(E_F): 0.913 states/eV/atom
- E_form (uncorrected): 0.49 eV/atom

Unit cell a=3.250 b=3.250 c=6.909 alpha=90.00 beta=90.00 gamma=90.00
Sites, in units of the cell vectors:
Te 0.000 0.000 0.774
P 0.500 0.500 0.500
Te 0.000 0.000 0.226
Co 0.500 0.500 0.000


The following is a DFT calculation (PBEsol) of crystalline CsB2I at its relaxed geometry.

- Mass density: 5.05 Mg/m³
- Spin magnetization: 0.00 μB/f.u.
- D(E_F): 0.818 states/eV/atom
- E_form (uncorrected): 1.87 eV/atom

Unit cell a=5.078 b=5.078 c=5.078 alpha=60.00 beta=60.00 gamma=60.00
Sites, in units of the cell vectors:
Cs 0.500 0.500 0.500
B 0.750 0.750 0.750
I 0.000 0.000 0.000
B 0.250 0.250 0.250


The following is a DFT calculation (PBEsol) of crystalline ScBeOs2 at its relaxed geometry.

- Mass density: 12.87 Mg/m³
- Spin magnetization: 0.00 μB/f.u.
- Calculated total energy: -8.80 eV/atom
- D(E_F): 0.851 states/eV/atom

Unit cell a=2.969 b=2.969 c=6.360 alpha=90.00 beta=90.00 gamma=90.00
Sites, in units of the cell vectors:
Be 0.500 0.500 0.804
Sc 0.000 0.000 0.511
Os 0.500 0.500 0.226
Os 0.000 0.000 0.960


The following is a DFT calculation (PBEsol) of crystalline ZrInNi4 at its relaxed geometry.

- Mass density: 9.21 Mg/m³
- Spin magnetization: 0.00 μB/f.u.
- Calculated total energy: -6.53 eV/atom
- D(E_F): 0.817 states/eV/atom

Unit cell a=4.826 b=4.826 c=4.826 alpha=60.00 beta=60.00 gamma=60.00
Sites, in units of the cell vectors:
Zr 0.000 0.000 0.000
Ni 0.375 0.375 0.875
In 0.750 0.750 0.750
Ni 0.375 0.375 0.375
Ni 0.875 0.375 0.375
Ni 0.375 0.875 0.375


The following is a DFT calculation (PBEsol) of crystalline HoH16C2S2NO12 at its relaxed geometry.

- Mass density: 2.60 Mg/m³
- Spin magnetization: 0.00 μB/f.u.
- Calculated total energy: -5.77 eV/atom
- D(E_F): 0.000 states/eV/atom

Unit cell a=9.764 b=10.656 c=11.661 alpha=90.00 beta=90.00 gamma=90.00
Sites, in units of the cell vectors:
O 0.082 0.279 0.613
S 0.705 0.282 0.060
H 0.365 0.986 0.141
H 0.970 0.473 0.428
H 0.365 0.986 0.359
O 0.899 0.050 0.897
N 0.036 0.515 0.750
H 0.131 0.896 0.463
H 0.041 0.340 0.145
Ho 0.528 0.378 0.250
H 0.030 0.527 0.572
S 0.795 0.782 0.440
H 0.124 0.040 0.415
H 0.609 0.630 0.319
H 0.376 0.540 0.415
C 0.967 0.557 0.855
H 0.369 0.396 0.037
O 0.601 0.550 0.897
O 0.724 0.399 0.371
H 0.137 0.549 0.750
H 0.970 0.473 0.072
O 0.933 0.090 0.250
H 0.609 0.630 0.181
H 0.214 0.720 0.319
H 0.869 0.104 0.963
O 0.174 0.801 0.567
O 0.567 0.590 0.250
H 0.863 0.451 0.250
H 0.959 0.660 0.855
O 0.326 0.301 0.567
O 0.326 0.301 0.933
O 0.180 0.186 0.062
O 0.582 0.221 0.113
H 0.030 0.527 0.928
O 0.820 0.814 0.938
O 0.776 0.899 0.129
H 0.041 0.340 0.355
O 0.680 0.314 0.562
H 0.891 0.130 0.181
H 0.369 0.396 0.463
H 0.286 0.220 0.181
O 0.680 0.314 0.938
H 0.631 0.604 0.963
H 0.637 0.951 0.250
H 0.470 0.027 0.572
O 0.820 0.814 0.562
H 0.363 0.049 0.750
H 0.869 0.104 0.537
H 0.865 0.514 0.641
O 0.899 0.050 0.603
H 0.109 0.870 0.819
C 0.467 0.943 0.145
O 0.399 0.450 0.103
O 0.418 0.779 0.887
O 0.276 0.601 0.871
H 0.135 0.486 0.141
O 0.101 0.950 0.397
O 0.399 0.450 0.397
O 0.674 0.699 0.067
O 0.155 0.731 0.250
H 0.459 0.840 0.145
N 0.964 0.485 0.250
O 0.918 0.721 0.387
O 0.776 0.899 0.371
C 0.533 0.057 0.855
H 0.876 0.960 0.915
O 0.582 0.221 0.387
O 0.320 0.686 0.062
S 0.205 0.218 0.940
H 0.135 0.486 0.359
N 0.464 0.015 0.750
O 0.224 0.101 0.629
O 0.826 0.199 0.433
H 0.456 0.917 0.750
O 0.433 0.410 0.750
H 0.541 0.160 0.645
H 0.124 0.040 0.085
S 0.295 0.718 0.940
H 0.391 0.370 0.681
Ho 0.028 0.122 0.750
S 0.205 0.218 0.560
C 0.533 0.057 0.645
H 0.459 0.840 0.355
H 0.624 0.460 0.585
H 0.876 0.960 0.585
H 0.786 0.280 0.681
N 0.536 0.985 0.250
H 0.214 0.720 0.181
S 0.705 0.282 0.440
O 0.174 0.801 0.933
H 0.109 0.870 0.681
H 0.131 0.896 0.037
O 0.601 0.550 0.603
S 0.795 0.782 0.060
H 0.714 0.780 0.681
O 0.845 0.269 0.750
O 0.082 0.279 0.887
C 0.033 0.443 0.145
H 0.786 0.280 0.819
H 0.530 0.973 0.072
H 0.470 0.027 0.928
C 0.967 0.557 0.645
H 0.714 0.780 0.819
C 0.033 0.443 0.355
H 0.956 0.583 0.250
C 0.467 0.943 0.355
H 0.044 0.417 0.750
H 0.376 0.540 0.085
O 0.826 0.199 0.067
O 0.067 0.910 0.750
H 0.541 0.160 0.855
H 0.635 0.014 0.859
S 0.295 0.718 0.560
H 0.544 0.083 0.250
O 0.224 0.101 0.871
O 0.276 0.601 0.629
O 0.345 0.231 0.250
Ho 0.472 0.622 0.750
H 0.391 0.370 0.819
H 0.865 0.514 0.859
O 0.418 0.779 0.613
O 0.320 0.686 0.438
H 0.635 0.014 0.641
O 0.101 0.950 0.103
O 0.674 0.699 0.433
H 0.631 0.604 0.537
O 0.724 0.399 0.129
O 0.918 0.721 0.113
H 0.891 0.130 0.319
H 0.530 0.973 0.428
H 0.624 0.460 0.915
O 0.655 0.769 0.750
H 0.286 0.220 0.319
H 0.959 0.660 0.645
O 0.180 0.186 0.438
Ho 0.972 0.878 0.250


The following is a DFT calculation (PBEsol) of crystalline LaNb3S at its relaxed geometry.

- Mass density: 6.50 Mg/m³
- Spin magnetization: 0.00 μB/f.u.
- D(E_F): 1.091 states/eV/atom
- E_form (uncorrected): 2.01 eV/atom

Unit cell a=4.861 b=4.861 c=4.861 alpha=90.00 beta=90.00 gamma=90.00
Sites, in units of the cell vectors:
La 0.000 0.000 0.000
Nb 0.500 0.000 0.000
Nb 0.000 0.000 0.500
Nb 0.000 0.500 0.000
S 0.500 0.500 0.500


The following is a DFT calculation (PBEsol) of crystalline MgZrBr2 at its relaxed geometry.

- Energy above the most stable polymorph in this dataset: 18.3 kJ per mole of atoms
- Mass density: 4.90 Mg/m³
- Spin magnetization: 0.01 μB/f.u.
- D(E_F): 0.840 states/eV/atom
- E_form (uncorrected): -0.46 eV/atom

Unit cell a=3.485 b=3.485 c=9.089 alpha=78.95 beta=78.95 gamma=60.00
Sites, in units of the cell vectors:
Br 0.896 0.896 0.312
Br 0.104 0.104 0.688
Mg 0.500 0.500 0.500
Zr 0.000 0.000 0.000


The following is a DFT calculation (PBEsol) of crystalline BaRePb at its relaxed geometry.

- Energy above the most stable polymorph in this dataset: 0.0 kJ per mole of atoms
- Mass density: 11.80 Mg/m³
- Spin magnetization: 0.00 μB/f.u.
- D(E_F): 1.140 states/eV/atom

Unit cell a=3.062 b=5.307 c=5.307 alpha=120.00 beta=90.00 gamma=90.00
Sites, in units of the cell vectors:
Pb 0.000 0.333 0.667
Re 0.000 0.667 0.333
Ba 0.500 0.000 0.000


The following is a DFT calculation (PBEsol) of crystalline FeSbO4 at its relaxed geometry.

- Mass density: 6.18 Mg/m³
- Spin magnetization: 2.89 μB/f.u.
- D(E_F): 0.354 states/eV/atom
- E_form (uncorrected): -1.34 eV/atom

Unit cell a=5.533 b=5.533 c=5.533 alpha=107.31 beta=107.31 gamma=113.89
Site moments in Bohr magnetons follow the coordinates.
Sites, in units of the cell vectors:
O 0.737 0.547 0.810  0.08
O 0.260 0.450 0.190  0.03
O 0.737 0.927 0.190  0.08
O 0.700 0.010 0.690  0.03
O 0.320 0.010 0.310  0.03
Sb 0.998 0.998 0.000  -0.01
O 0.260 0.070 0.810  0.03
Fe 0.508 0.508 0.000  2.57
O 0.797 0.487 0.310  0.08
Fe 0.758 0.258 0.500  2.57
Sb 0.248 0.748 0.500  -0.01
O 0.177 0.487 0.690  0.08